(1)
DFT (PBE-GGA) results for a geometry-optimized LiPrAgPd structure.

The calculation puts the calculated formation energy at -0.43 eV per atom. The calculation puts the energy above the most stable polymorph in this dataset at 0 meV/atom.

Geometry as CIF:
```
data_LiPrAgPd
_chemical_formula_sum 'Li3 Pr3 Ag3 Pd3'
_space_group_name_H-M_alt 'R 3 m'
_space_group_IT_number 160
_space_group_name_Hall 'R 3 -2"'
_cell_length_a 4.4803
_cell_length_b 4.4803
_cell_length_c 14.8766
_cell_angle_alpha 90.00
_cell_angle_beta 90.00
_cell_angle_gamma 120.00
loop_
_atom_site_label
_atom_site_type_symbol
_atom_site_fract_x
_atom_site_fract_y
_atom_site_fract_z
Li1 Li 0.0000 0.0000 0.0000
Pr1 Pr 0.0000 0.0000 0.5097
Ag1 Ag 0.0000 0.0000 0.7189
Pd1 Pd 0.0000 0.0000 0.2940
```

=====

(2)
DFT (PBE-GGA) results for a geometry-optimized Li5PtAu6 structure.

The calculation puts the calculated formation energy at -0.47 eV per atom.

Geometry as CIF:
```
data_Li5PtAu6
_chemical_formula_sum 'Li10 Pt2 Au12'
_space_group_name_H-M_alt 'I m m m'
_space_group_IT_number 71
_space_group_name_Hall '-I 2 2'
_cell_length_a 4.094
_cell_length_b 7.392
_cell_length_c 12.361
_cell_angle_alpha 90.00
_cell_angle_beta 90.00
_cell_angle_gamma 90.00
loop_
_atom_site_label
_atom_site_type_symbol
_atom_site_fract_x
_atom_site_fract_y
_atom_site_fract_z
Li1 Li 0.000 0.000 0.000
Li2 Li 0.000 0.000 0.350
Li3 Li 0.000 0.500 0.326
Pt1 Pt 0.000 0.500 0.000
Au1 Au 0.000 0.241 0.169
Au2 Au 0.000 0.273 0.500
```

=====

(3)
DFT (PBE-GGA) results for a geometry-optimized TcTe2Se structure.

The value obtained for the uncorrected formation energy is 0.21 eV per atom.

Geometry as CIF:
```
data_TcTe2Se
_chemical_formula_sum 'Tc3 Te6 Se3'
_space_group_name_H-M_alt 'R -3 m'
_space_group_IT_number 166
_space_group_name_Hall '-R 3 2"'
_cell_length_a 3.8228
_cell_length_b 3.8228
_cell_length_c 25.7283
_cell_angle_alpha 90.00
_cell_angle_beta 90.00
_cell_angle_gamma 120.00
loop_
_atom_site_label
_atom_site_type_symbol
_atom_site_fract_x
_atom_site_fract_y
_atom_site_fract_z
Tc1 Tc 0.0000 0.0000 0.0000
Te1 Te 0.0000 0.0000 0.3950
Se1 Se 0.0000 0.0000 0.5000
```

=====

(4)
DFT (PBE-GGA) results for a geometry-optimized La2ZnTeRu structure.

The value obtained for the uncorrected formation energy is -0.69 eV per atom.

Geometry as CIF:
```
data_La2ZnTeRu
_chemical_formula_sum 'La2 Zn1 Te1 Ru1'
_space_group_name_H-M_alt 'P 4/m m m'
_space_group_IT_number 123
_space_group_name_Hall '-P 4 2'
_cell_length_a 5.416
_cell_length_b 5.416
_cell_length_c 4.872
_cell_angle_alpha 90.00
_cell_angle_beta 90.00
_cell_angle_gamma 90.00
loop_
_atom_site_label
_atom_site_type_symbol
_atom_site_fract_x
_atom_site_fract_y
_atom_site_fract_z
La1 La 0.000 0.500 0.000
Zn1 Zn 0.000 0.000 0.500
Te1 Te 0.500 0.500 0.500
Ru1 Ru 0.000 0.000 0.000
```